Material: NaTiAsBr2
Method: DFT, GGA-PBEsol
State: relaxed

For the total magnetization, the calculation gives 0.00 μB/f.u. The value obtained for the mass density is 3.9 Mg/m³. The calculation puts the formation energy from raw total energies at -0.6881 eV per atom. As for the energy above the most stable polymorph in this dataset: 0.0 meV per atom.

The structure belongs to space group P4/mmm (No. 123); the cell edges are 5.162, 5.162 and 4.888 Å and the angles 90.00°, 90.00° and 90.00°. The inequivalent atoms are Na at (0.000, 0.000, 0.000), Ti at (0.500, 0.500, 0.500), As at (0.500, 0.500, 0.000) and Br at (0.000, 0.500, 0.500).

Material: NaZnAs2Br
Method: DFT, GGA-PBEsol
State: relaxed

For the total magnetization, the calculation gives 0.00 μB/f.u. The value obtained for the mass density is 4.0 Mg/m³. The calculation puts the formation energy from raw total energies at 0.0899 eV per atom.

The structure belongs to space group P4/mmm (No. 123); the cell edges are 4.669, 4.669 and 6.066 Å and the angles 90.00°, 90.00° and 90.00°. The inequivalent atoms are Na at (0.000, 0.000, 0.000), Zn at (0.500, 0.500, 0.500), As at (0.000, 0.500, 0.500) and Br at (0.500, 0.500, 0.000).

Which value of formation energy from raw total energies does entry 2 give? 0.0899 eV per atom